The following is a GGA-PBE calculation of a relaxed PmPuAlGe crystal, from Alexandria.

Structure (extended XYZ):
```
4
Lattice="5.1305 0.0000 0.0000 2.5653 4.4432 0.0000 2.5653 1.4811 4.1891" Properties=species:S:1:pos:R:3 pbc="T T T"
Ge 2.5653 1.4811 1.0473
Pm 5.1305 2.9621 2.0945
Al 7.6958 4.4432 3.1418
Pu 0.0000 0.0000 0.0000
```

Properties
As for the formation energy: -315 meV per atom. For the energy, the calculation gives -7.18 eV/atom. Its space group is F-43m.